(1)
Compound: LiCd2P
Source: Alexandria
Functional: PBE
Structure: relaxed

Cell and atoms, written as CIF:
```
data_LiCd2P
_cell_length_a 5.865
_cell_length_b 5.865
_cell_length_c 3.043
_cell_angle_alpha 103.84
_cell_angle_beta 103.84
_cell_angle_gamma 122.04
_space_group_name_H-M_alt 'P 1'
_space_group_IT_number 1
loop_
_space_group_symop_operation_xyz
'x,y,z'
loop_
_atom_site_label
_atom_site_type_symbol
_atom_site_fract_x
_atom_site_fract_y
_atom_site_fract_z
Li1 Li 0.000 0.000 0.000
Cd1 Cd 0.000 0.500 0.000
Cd2 Cd 0.500 0.000 0.000
P1 P 0.500 0.500 0.000
```

Calculated values
Calculated formation energy = 0.00 eV per atom
Space-group type = C2/m
DOS at the Fermi energy = 0.3112 states/eV per atom
Calculated total energy = -2.293 eV/atom
Total magnetization = 0.00 μB per cell

=====

(2)
Compound: LiCd2P
Source: Alexandria
Functional: PBE
Structure: relaxed

Cell and atoms, written as CIF:
```
data_LiCd2P
_cell_length_a 5.252
_cell_length_b 5.252
_cell_length_c 5.252
_cell_angle_alpha 133.41
_cell_angle_beta 132.96
_cell_angle_gamma 68.36
_space_group_name_H-M_alt 'P 1'
_space_group_IT_number 1
loop_
_space_group_symop_operation_xyz
'x,y,z'
loop_
_atom_site_label
_atom_site_type_symbol
_atom_site_fract_x
_atom_site_fract_y
_atom_site_fract_z
Li1 Li 0.000 0.000 0.000
Cd1 Cd 0.252 0.752 0.500
Cd2 Cd 0.748 0.248 0.500
P1 P 0.500 0.500 0.000
```

Calculated values
Calculated formation energy = -0.07 eV per atom
Space-group type = Immm
DOS at the Fermi energy = 0.3651 states/eV per atom
Calculated total energy = -2.357 eV/atom
Total magnetization = 0.00 μB per cell